Record 1
Below is crystalline ReTeAu4 at its relaxed geometry, with properties calculated at the PBE level.

abc: 5.544 5.544 5.544
angles: 60.00 60.00 60.00
Sites, in units of the cell vectors:
Re1 0.000 0.000 0.000
Te1 0.750 0.750 0.750
Au1 0.375 0.375 0.375
Au2 0.375 0.375 0.876
Au3 0.375 0.876 0.375
Au4 0.876 0.375 0.375

Results
The energy relative to the elements, uncorrected is 772 meV/atom.

Record 2
Below is crystalline ScAlNO2 at its relaxed geometry, with properties calculated at the PBE level.

abc: 3.645 3.645 3.771
angles: 90.00 90.00 90.00
Sites, in units of the cell vectors:
Sc1 0.000 0.000 0.000
Al1 0.500 0.500 0.500
N1 0.500 0.500 0.000
O1 0.000 0.500 0.500
O2 0.500 0.000 0.500

Results
The energy relative to the elements, uncorrected is -1834 meV/atom.

Record 3
Below is crystalline K5Sn4Sb4 at its relaxed geometry, with properties calculated at the PBE level.

abc: 9.979 9.979 9.979
angles: 93.87 93.87 149.90
Sites, in units of the cell vectors:
K1 0.000 0.000 0.000
K2 0.293 0.361 0.654
K3 0.361 0.707 0.068
K4 0.639 0.293 0.932
K5 0.707 0.639 0.346
Sn1 0.098 0.564 0.663
Sn2 0.436 0.098 0.534
Sn3 0.564 0.902 0.466
Sn4 0.902 0.436 0.337
Sb1 0.046 0.263 0.309
Sb2 0.263 0.954 0.216
Sb3 0.737 0.046 0.784
Sb4 0.954 0.737 0.691

Results
The energy relative to the elements, uncorrected is -264 meV/atom.

Record 4
Below is crystalline LaClF2 at its relaxed geometry, with properties calculated at the PBE level.

abc: 4.441 4.441 4.441
angles: 60.00 60.00 60.00
Sites, in units of the cell vectors:
La1 0.000 0.000 0.000
Cl1 0.500 0.500 0.500
F1 0.250 0.250 0.250
F2 0.750 0.750 0.750

Results
The energy relative to the elements, uncorrected is -3242 meV/atom.

Record 5
Below is crystalline Ba2VCu2 at its relaxed geometry, with properties calculated at the PBE level.

abc: 7.837 7.837 4.673
angles: 90.00 90.00 90.00
Sites, in units of the cell vectors:
Ba1 0.183 0.317 0.000
Ba2 0.317 0.817 0.000
Ba3 0.683 0.183 0.000
Ba4 0.817 0.683 0.000
V1 0.000 0.000 0.500
V2 0.500 0.500 0.500
Cu1 0.116 0.616 0.500
Cu2 0.384 0.116 0.500
Cu3 0.616 0.884 0.500
Cu4 0.884 0.384 0.500

Results
The calculation puts the formation energy at 42 kJ/mol of atoms.

Record 6
Below is crystalline Li2BiCCl at its relaxed geometry, with properties calculated at the PBE level.

abc: 5.586 5.586 5.414
angles: 90.00 90.00 90.00
Sites, in units of the cell vectors:
Li1 0.000 0.500 0.000
Li2 0.500 0.000 0.000
Bi1 0.000 0.000 0.000
C1 0.500 0.500 0.500
Cl1 0.000 0.000 0.500

Results
The energy relative to the elements, uncorrected is 1128 meV/atom.

Record 7
Below is crystalline SrFeSi2C at its relaxed geometry, with properties calculated at the PBE level.

abc: 5.601 5.601 5.186
angles: 90.00 90.00 90.00
Sites, in units of the cell vectors:
Sr1 0.000 0.000 0.000
Fe1 0.000 0.000 0.500
Si1 0.000 0.500 0.000
Si2 0.500 0.000 0.000
C1 0.500 0.500 0.500

Results
The energy relative to the elements, uncorrected is 3193 meV/atom.

Record 8
Below is crystalline Ba2MgSb at its relaxed geometry, with properties calculated at the PBE level.

abc: 4.196 4.196 9.672
angles: 90.00 90.00 90.00
Sites, in units of the cell vectors:
Ba1 0.000 0.000 0.000
Ba2 0.500 0.500 0.410
Mg1 0.000 0.000 0.647
Sb1 0.500 0.500 0.779

Results
The energy relative to the elements, uncorrected is -322 meV/atom.